Entry 1:
## CoNi3 (SCAN)

Data for a crystal of CoNi3 relaxed with PBEsol.

abc: 8.1196 2.4403 4.2417
angles: 90.00 99.84 90.00
Closest atoms and distances in Å follow each position.
Space group C2/m (No. 12)
One atom of each set of equivalent atoms:
Co 0.0000 0.0000 0.0000 [2 per cell]  2 Co 2.44, 10 Ni 2.44-2.45
Ni 0.0000 0.5000 0.5000 [2 per cell]  8 Ni 2.44-2.46, 4 Co 2.45
Ni 0.2494 0.5000 0.2482 [4 per cell]  9 Ni 2.44-2.46, 3 Co 2.44-2.45

Results
The value obtained for the formation energy is 0.010 eV per atom. Its final energy is -16.45 eV per atom.

---

Entry 2:
## Co3Ni (SCAN)

Data for a crystal of Co3Ni relaxed with PBEsol.

abc: 4.9142 4.9142 3.9577
angles: 90.00 90.00 120.00
Closest atoms and distances in Å follow each position.
Space group P6_3/mmc (No. 194)
One atom of each set of equivalent atoms:
Co 0.1654 0.3308 0.2500 [6 per cell]  8 Co 2.43-2.48, 4 Ni 2.44-2.46
Ni 0.3333 0.6667 0.7500 [2 per cell]  12 Co 2.44-2.46

Results
The value obtained for the formation energy is -0.009 eV per atom. Its final energy is -17.03 eV per atom.

---

Entry 3:
## CoNi3 (SCAN)

Data for a crystal of CoNi3 relaxed with PBEsol.

abc: 2.4407 8.0003 4.2471
angles: 90.00 90.00 90.00
Closest atoms and distances in Å follow each position.
Space group Imm2 (No. 44)
One atom of each set of equivalent atoms:
Co 0.0000 0.0000 0.0000 [2 per cell]  10 Ni 2.44-2.46, 2 Co 2.44
Ni 0.0000 0.2509 0.3345 [4 per cell]  3 Co 2.44-2.46, 9 Ni 2.44-2.45
Ni 0.0000 0.5000 0.9997 [2 per cell]  8 Ni 2.44-2.45, 4 Co 2.45

Results
The value obtained for the formation energy is 0.032 eV per atom. Its final energy is -16.42 eV per atom.

---

Entry 4:
## CoNi2 (SCAN)

Data for a crystal of CoNi2 relaxed with PBEsol.

abc: 2.4357 2.4357 10.4532
angles: 90.00 90.00 90.00
Closest atoms and distances in Å follow each position.
Space group I4/mmm (No. 139)
One atom of each set of equivalent atoms:
Co 0.0000 0.0000 0.0000 [2 per cell]  4 Co 2.44, 8 Ni 2.44
Ni 0.0000 0.0000 0.3350 [4 per cell]  8 Ni 2.44-2.48, 4 Co 2.44

Results
The value obtained for the formation energy is -0.005 eV per atom. Its final energy is -16.56 eV per atom.

---

Entry 5:
## CoNi3 (SCAN)

Data for a crystal of CoNi3 relaxed with PBEsol.

abc: 2.4347 3.4755 4.8901
angles: 90.00 90.00 90.00
Closest atoms and distances in Å follow each position.
Space group Pmmm (No. 47)
One atom of each set of equivalent atoms:
Co 0.0000 0.0000 0.0000 [1 per cell]  2 Co 2.43, 10 Ni 2.44-2.45
Ni 0.0000 0.0000 0.5000 [1 per cell]  10 Ni 2.43-2.45, 2 Co 2.45
Ni 0.5000 0.5000 0.2480 [2 per cell]  8 Ni 2.43-2.46, 4 Co 2.44

Results
The value obtained for the formation energy is 0.002 eV per atom. Its final energy is -16.45 eV per atom.

---

Entry 6:
## Co5Ni (SCAN)

Data for a crystal of Co5Ni relaxed with PBEsol.

abc: 8.9908 2.4480 5.8179
angles: 90.00 104.69 90.00
Closest atoms and distances in Å follow each position.
Space group Cm (No. 8)
One atom of each set of equivalent atoms:
Co 0.0000 0.0000 0.0000 [2 per cell]  3 Ni 2.43-2.44, 9 Co 2.44-2.46
Co 0.0560 0.0000 0.6097 [2 per cell]  10 Co 2.43-2.45, 2 Ni 2.46
Co 0.1669 0.5000 0.3334 [2 per cell]  11 Co 2.43-2.46, 1 Ni 2.44
Co 0.3340 0.0000 0.6656 [2 per cell]  10 Co 2.42-2.46, 2 Ni 2.44
Co 0.3895 0.0000 0.2802 [2 per cell]  10 Co 2.42-2.45, 2 Ni 2.47
Ni 0.2226 0.5000 0.9443 [2 per cell]  10 Co 2.43-2.47, 2 Ni 2.45

Results
The value obtained for the formation energy is 0.032 eV per atom. The energy above the most stable polymorph in this dataset is 0.12 eV per formula unit. Its final energy is -17.08 eV per atom.

---

Entry 7:
## Co2Ni3 (SCAN)

Data for a crystal of Co2Ni3 relaxed with PBEsol.

abc: 8.2221 11.9100 4.2874
angles: 90.00 90.00 90.00
Closest atoms and distances in Å follow each position.
Space group Fdd2 (No. 43)
One atom of each set of equivalent atoms:
Co 0.0202 0.2977 0.0000 [16 per cell]  9 Ni 2.33-2.59, 2 Co 2.45
Ni 0.0000 0.0000 0.4618 [8 per cell]  6 Co 2.33-2.47, 4 Ni 2.41-2.53
Ni 0.0319 0.3995 0.4771 [16 per cell]  6 Co 2.37-2.59, 5 Ni 2.39-2.53

Results
The value obtained for the formation energy is 0.101 eV per atom. The energy above the most stable polymorph in this dataset is 0.43 eV per formula unit. Its final energy is -16.52 eV per atom.

---

Entry 8:
## Co4Ni5 (SCAN)

Data for a crystal of Co4Ni5 relaxed with PBEsol.

abc: 7.3549 7.3549 3.4432
angles: 90.00 90.00 90.00
Closest atoms and distances in Å follow each position.
Space group I4/mmm (No. 139)
One atom of each set of equivalent atoms:
Co 0.0000 0.3370 0.0000 [8 per cell]  5 Co 2.40-2.42, 7 Ni 2.44-2.48
Ni 0.0000 0.0000 0.0000 [2 per cell]  8 Ni 2.45, 4 Co 2.48
Ni 0.1676 0.1676 0.5000 [8 per cell]  6 Ni 2.43-2.47, 6 Co 2.44-2.46

Results
The value obtained for the formation energy is 0.007 eV per atom. Its final energy is -16.67 eV per atom.

---

Entry 9:
## Co3Ni (SCAN)

Data for a crystal of Co3Ni relaxed with PBEsol.

abc: 4.2367 7.9570 4.9176
angles: 90.00 90.00 90.00
Closest atoms and distances in Å follow each position.
Space group Pnma (No. 62)
One atom of each set of equivalent atoms:
Co 0.0846 0.2500 0.1244 [4 per cell]  8 Co 2.43-2.45, 4 Ni 2.44-2.46
Co 0.2505 0.0010 0.3739 [8 per cell]  9 Co 2.43-2.46, 3 Ni 2.44-2.45
Ni 0.0826 0.2500 0.6245 [4 per cell]  10 Co 2.44-2.46, 2 Ni 2.45

Results
The value obtained for the formation energy is 0.032 eV per atom. Its final energy is -16.99 eV per atom.

---

Entry 10:
## Co2Ni (SCAN)

Data for a crystal of Co2Ni relaxed with PBEsol.

abc: 9.0103 2.4432 5.8245
angles: 90.00 104.65 90.00
Closest atoms and distances in Å follow each position.
Space group C2/m (No. 12)
One atom of each set of equivalent atoms:
Co 0.0287 0.0000 0.3037 [4 per cell]  7 Co 2.42-2.47, 5 Ni 2.44-2.46
Co 0.1381 0.5000 0.0264 [4 per cell]  9 Co 2.42-2.45, 3 Ni 2.43-2.47
Ni 0.1934 0.5000 0.6396 [4 per cell]  8 Co 2.43-2.47, 4 Ni 2.44-2.45

Results
The value obtained for the formation energy is 0.025 eV per atom. Its final energy is -16.90 eV per atom.

---

Entry 11:
## CoNi3 (SCAN)

Data for a crystal of CoNi3 relaxed with PBEsol.

abc: 2.4529 2.4529 7.9814
angles: 90.00 90.00 120.00
Closest atoms and distances in Å follow each position.
Space group P-6m2 (No. 187)
One atom of each set of equivalent atoms:
Co 0.0000 0.0000 0.0000 [1 per cell]  6 Ni 2.43, 6 Co 2.45
Ni 0.0000 0.0000 0.5000 [1 per cell]  12 Ni 2.45-2.46
Ni 0.6667 0.3333 0.2473 [2 per cell]  3 Co 2.43, 9 Ni 2.45-2.46

Results
The value obtained for the formation energy is 0.022 eV per atom. Its final energy is -16.43 eV per atom.

---

Entry 12:
## Co5Ni (SCAN)

Data for a crystal of Co5Ni relaxed with PBEsol.

abc: 3.4648 10.3359 3.4697
angles: 90.00 90.00 90.00
Closest atoms and distances in Å follow each position.
Space group Cmmm (No. 65)
One atom of each set of equivalent atoms:
Co 0.0000 0.0000 0.0000 [2 per cell]  8 Co 2.44-2.45, 4 Ni 2.45
Co 0.0000 0.1672 0.5000 [4 per cell]  10 Co 2.44-2.45, 2 Ni 2.45
Co 0.0000 0.3334 0.0000 [4 per cell]  10 Co 2.44-2.45, 2 Ni 2.44
Ni 0.0000 0.5000 0.5000 [2 per cell]  12 Co 2.44-2.45

Results
The value obtained for the formation energy is 0.012 eV per atom. The energy above the most stable polymorph in this dataset is 0.00 eV per formula unit. Its final energy is -17.10 eV per atom.

---

Entry 13:
## Co3Ni (SCAN)

Data for a crystal of Co3Ni relaxed with PBEsol.

abc: 4.2512 4.2512 4.2512
angles: 90.00 90.00 90.00
Closest atoms and distances in Å follow each position.
Space group Pm-3m (No. 221)
One atom of each set of equivalent atoms:
Co 0.0000 0.0000 0.5000 [3 per cell]  2 Ni 2.13
Ni 0.0000 0.0000 0.0000 [1 per cell]  6 Co 2.13

Results
The value obtained for the formation energy is 1.634 eV per atom. Its final energy is -15.39 eV per atom.

---

Entry 14:
## CoNi5 (SCAN)

Data for a crystal of CoNi5 relaxed with PBEsol.

abc: 2.4382 2.4382 10.4307
angles: 90.00 90.00 90.00
Closest atoms and distances in Å follow each position.
Space group P4/mmm (No. 123)
One atom of each set of equivalent atoms:
Co 0.0000 0.0000 0.0000 [1 per cell]  4 Co 2.44, 8 Ni 2.44
Ni 0.0000 0.0000 0.3341 [2 per cell]  12 Ni 2.44-2.46
Ni 0.5000 0.5000 0.1654 [2 per cell]  8 Ni 2.44-2.46, 4 Co 2.44
Ni 0.5000 0.5000 0.5000 [1 per cell]  12 Ni 2.44

Results
The value obtained for the formation energy is -0.001 eV per atom. Its final energy is -16.36 eV per atom.

---

Entry 15:
## Co2Ni (SCAN)

Data for a crystal of Co2Ni relaxed with PBEsol.

abc: 2.4377 2.4377 10.4373
angles: 90.00 90.00 90.00
Closest atoms and distances in Å follow each position.
Space group I4/mmm (No. 139)
One atom of each set of equivalent atoms:
Co 0.0000 0.0000 0.1681 [4 per cell]  8 Co 2.43-2.44, 4 Ni 2.46
Ni 0.0000 0.0000 0.5000 [2 per cell]  4 Ni 2.44, 8 Co 2.46

Results
The value obtained for the formation energy is 0.011 eV per atom. Its final energy is -16.92 eV per atom.

---

Entry 16:
## Co2Ni3 (SCAN)

Data for a crystal of Co2Ni3 relaxed with PBEsol.

abc: 2.4445 2.4445 30.0574
angles: 90.00 90.00 120.00
Closest atoms and distances in Å follow each position.
Space group R-3m (No. 166, hexagonal axes)
One atom of each set of equivalent atoms:
Co 0.0000 0.0000 0.0999 [6 per cell]  6 Ni 2.44-2.45, 6 Co 2.44
Ni 0.0000 0.0000 0.2996 [6 per cell]  3 Co 2.44, 9 Ni 2.44-2.47
Ni 0.0000 0.0000 0.5000 [3 per cell]  6 Ni 2.44, 6 Co 2.45

Results
The value obtained for the formation energy is 0.016 eV per atom. The energy above the most stable polymorph in this dataset is 0.00 eV per formula unit. Its final energy is -16.61 eV per atom.

---

Entry 17:
## CoNi3 (SCAN)

Data for a crystal of CoNi3 relaxed with PBEsol.

abc: 2.4365 2.4365 6.9636
angles: 90.00 90.00 90.00
Closest atoms and distances in Å follow each position.
Space group P4/mmm (No. 123)
One atom of each set of equivalent atoms:
Co 0.0000 0.0000 0.0000 [1 per cell]  4 Co 2.44, 8 Ni 2.44
Ni 0.0000 0.0000 0.5000 [1 per cell]  12 Ni 2.44-2.46
Ni 0.5000 0.5000 0.2481 [2 per cell]  8 Ni 2.44-2.46, 4 Co 2.44

Results
The value obtained for the formation energy is 0.002 eV per atom. Its final energy is -16.45 eV per atom.

---

Entry 18:
## Co2Ni (SCAN)

Data for a crystal of Co2Ni relaxed with PBEsol.

abc: 2.8811 2.8811 7.6004
angles: 90.00 90.00 90.00
Closest atoms and distances in Å follow each position.
Space group I4/mmm (No. 139)
One atom of each set of equivalent atoms:
Co 0.0000 0.0000 0.1690 [4 per cell]  5 Co 2.38-2.57, 5 Ni 2.41-2.52
Ni 0.0000 0.0000 0.5000 [2 per cell]  10 Co 2.41-2.52

Results
The value obtained for the formation energy is 0.065 eV per atom. Its final energy is -16.86 eV per atom.

---

Entry 19:
## CoNi3 (SCAN)

Data for a crystal of CoNi3 relaxed with PBEsol.

abc: 2.4349 3.9938 4.2663
angles: 90.00 90.00 90.00
Closest atoms and distances in Å follow each position.
Space group Pmm2 (No. 25)
One atom of each set of equivalent atoms:
Co 0.0000 0.0000 0.0000 [1 per cell]  10 Ni 2.43-2.46, 2 Co 2.43
Ni 0.0000 0.5000 0.3266 [1 per cell]  2 Co 2.43, 10 Ni 2.43-2.46
Ni 0.5000 0.0000 0.4995 [1 per cell]  8 Ni 2.43-2.45, 4 Co 2.45-2.46
Ni 0.5000 0.5000 0.8274 [1 per cell]  8 Ni 2.43-2.46, 4 Co 2.45

Results
The value obtained for the formation energy is 0.032 eV per atom. Its final energy is -16.42 eV per atom.

---

Entry 20:
## CoNi3 (SCAN)

Data for a crystal of CoNi3 relaxed with PBEsol.

abc: 3.9860 4.9014 4.2486
angles: 90.00 90.00 90.00
Closest atoms and distances in Å follow each position.
Space group Pmmn (No. 59, origin choice 2)
One atom of each set of equivalent atoms:
Co 0.2500 0.2500 0.1659 [2 per cell]  12 Ni 2.43-2.45
Ni 0.2500 0.0004 0.6654 [4 per cell]  8 Ni 2.44-2.46, 4 Co 2.45
Ni 0.2500 0.7500 0.1633 [2 per cell]  4 Co 2.43-2.45, 8 Ni 2.45-2.46

Results
The value obtained for the formation energy is 0.027 eV per atom. Its final energy is -16.43 eV per atom.